[1]
The following is a GGA-PBE calculation of a geometry-optimized La2YNi structure, from the Alexandria database.

Cell lengths 3.8296, 3.8296, 28.7487 Å; angles 90.00, 90.00, 120.00 degrees
With the nearest neighbours (Å) after each atom.
Space group R-3m (No. 166, hexagonal axes)
Symmetry-distinct sites (fractional):
La: 0.0000 0.0000 0.2283 (multiplicity 6)  3 Ni 2.83
Y: 0.0000 0.0000 0.0000 (multiplicity 3)  6 La 3.74, 6 Y 3.83
Ni: 0.0000 0.0000 0.5000 (multiplicity 3)  6 La 2.83

Summary:
polymorph energy (0 for the lowest one): 118 meV per atom
ΔH_f (0 K): -73 meV per atom
calculated density: 5.80 g/cm3
M_tot: 0.000 μB per formula unit
volume: 365.1 Å³/cell

[2]
The following is a GGA-PBE calculation of a geometry-optimized LaY3Ni2 structure, from the Alexandria database.

Cell lengths 16.4396, 3.9317, 11.7087 Å; angles 90.00, 124.35, 90.00 degrees
With the nearest neighbours (Å) after each atom.
Space group C2/m (No. 12)
Symmetry-distinct sites (fractional):
La: 0.1539 0.0000 0.2506 (multiplicity 4)  3 Ni 2.79-3.01
Y: 0.0808 0.5000 0.4462 (multiplicity 4)  3 Ni 2.85-3.07
Y: 0.0850 0.5000 0.9376 (multiplicity 4)  3 Ni 2.80-2.90
Y: 0.1531 0.0000 0.7481 (multiplicity 4)  3 Ni 2.84-2.96
Ni: 0.2323 0.0000 0.0467 (multiplicity 4)  2 Ni 2.47
Ni: 0.2321 0.0000 0.5535 (multiplicity 4)  2 Ni 2.57, 2 La 2.79, 2 Y 2.85

Summary:
ΔH_f (0 K): -258 meV per atom
calculated density: 5.56 g/cm3
M_tot: 0.000 μB per formula unit
volume: 624.8 Å³/cell

[3]
The following is a GGA-PBE calculation of a geometry-optimized La2YNi structure, from the Alexandria database.

Cell lengths 8.5921, 8.5921, 6.4438 Å; angles 90.00, 90.00, 90.00 degrees
With the nearest neighbours (Å) after each atom.
Space group I-42d (No. 122)
Symmetry-distinct sites (fractional):
La: 0.1751 0.2500 0.1250 (multiplicity 8)  2 Ni 2.74
Y: 0.0000 0.0000 0.5000 (multiplicity 4)  2 Ni 3.22, 4 La 3.57
Ni: 0.0000 0.0000 0.0000 (multiplicity 4)  4 La 2.74

Summary:
polymorph energy (0 for the lowest one): 188 meV per atom
ΔH_f (0 K): -3 meV per atom
calculated density: 5.94 g/cm3
M_tot: 0.000 μB per formula unit
volume: 475.7 Å³/cell

[4]
The following is a GGA-PBE calculation of a geometry-optimized La3YNi2 structure, from the Alexandria database.

Cell lengths 16.6666, 4.0450, 12.0087 Å; angles 90.00, 124.85, 90.00 degrees
With the nearest neighbours (Å) after each atom.
Space group C2/m (No. 12)
Symmetry-distinct sites (fractional):
La: 0.0845 0.0000 0.4517 (multiplicity 4)  3 Ni 2.87-3.12
La: 0.0881 0.0000 0.9397 (multiplicity 4)  3 Ni 2.83-2.93
La: 0.1546 0.5000 0.2521 (multiplicity 4)  3 Ni 2.81-3.13
Y: 0.1597 0.5000 0.7536 (multiplicity 4)  3 Ni 2.83-3.05
Ni: 0.2323 0.5000 0.0511 (multiplicity 4)  2 Ni 2.60, 2 La 2.83, 2 Y 2.83
Ni: 0.2329 0.5000 0.5594 (multiplicity 4)  2 Ni 2.72, 4 La 2.81-2.87

Summary:
ΔH_f (0 K): -247 meV per atom
calculated density: 6.23 g/cm3
M_tot: 0.000 μB per formula unit
volume: 664.4 Å³/cell

[5]
The following is a GGA-PBE calculation of a geometry-optimized LaY2Ni2 structure, from the Alexandria database.

Cell lengths 7.6535, 7.6535, 3.9274 Å; angles 90.00, 90.00, 90.00 degrees
With the nearest neighbours (Å) after each atom.
Space group P4/mbm (No. 127)
Symmetry-distinct sites (fractional):
La: 0.0000 0.0000 0.0000 (multiplicity 2)  4 Ni 3.05
Y: 0.1602 0.3398 0.5000 (multiplicity 4)  6 Ni 2.93-3.08
Ni: 0.1207 0.6207 0.0000 (multiplicity 4)  1 Ni 2.61

Summary:
polymorph energy (0 for the lowest one): 34 meV per atom
ΔH_f (0 K): -250 meV per atom
calculated density: 6.27 g/cm3
M_tot: 0.000 μB per formula unit
volume: 230.1 Å³/cell

[6]
The following is a GGA-PBE calculation of a geometry-optimized LaY4Ni structure, from the Alexandria database.

Cell lengths 9.0880, 9.0880, 9.0880 Å; angles 90.00, 90.00, 90.00 degrees
With the nearest neighbours (Å) after each atom.
Space group F-43m (No. 216)
Symmetry-distinct sites (fractional):
La: 0.0000 0.0000 0.0000 (multiplicity 4)  12 Y 3.77, 4 Ni 3.94
Y: 0.1248 0.1248 0.3752 (multiplicity 16)  6 Y 3.21-3.22
Ni: 0.2500 0.2500 0.7500 (multiplicity 4)  12 Y 3.77, 4 La 3.94

Summary:
ΔH_f (0 K): 620 meV per atom
calculated density: 4.90 g/cm3
M_tot: 0.012 μB per formula unit
volume: 750.6 Å³/cell

[7]
The following is a GGA-PBE calculation of a geometry-optimized La2YNi structure, from the Alexandria database.

Cell lengths 3.5306, 3.5306, 9.1812 Å; angles 90.00, 90.00, 90.00 degrees
With the nearest neighbours (Å) after each atom.
Space group P4mm (No. 99)
Symmetry-distinct sites (fractional):
La: 0.0000 0.0000 0.0000 (multiplicity 1)  8 La 3.53-3.93, 4 Y 3.80
La: 0.5000 0.5000 0.3306 (multiplicity 1)  4 Ni 3.05, 1 Y 3.28
Y: 0.5000 0.5000 0.6882 (multiplicity 1)  4 Ni 2.93
Ni: 0.0000 0.0000 0.5215 (multiplicity 1)  4 Y 2.93, 4 La 3.05

Summary:
polymorph energy (0 for the lowest one): 62 meV per atom
ΔH_f (0 K): -129 meV per atom
calculated density: 6.17 g/cm3
M_tot: 0.000 μB per formula unit
volume: 114.4 Å³/cell

[8]
The following is a GGA-PBE calculation of a geometry-optimized La2YNi structure, from the Alexandria database.

Cell lengths 7.4529, 7.4529, 7.4529 Å; angles 90.00, 90.00, 90.00 degrees
With the nearest neighbours (Å) after each atom.
Space group F-43m (No. 216)
Symmetry-distinct sites (fractional):
La: 0.0000 0.0000 0.0000 (multiplicity 4)  4 La 3.23, 4 Y 3.23
La: 0.2500 0.2500 0.2500 (multiplicity 4)  4 Ni 3.23, 4 La 3.23
Y: 0.2500 0.2500 0.7500 (multiplicity 4)  4 La 3.23, 4 Ni 3.23
Ni: 0.0000 0.0000 0.5000 (multiplicity 4)  4 La 3.23, 4 Y 3.23

Summary:
polymorph energy (0 for the lowest one): 394 meV per atom
ΔH_f (0 K): 203 meV per atom
calculated density: 6.83 g/cm3
M_tot: 0.920 μB per formula unit
volume: 414.0 Å³/cell

[9]
The following is a GGA-PBE calculation of a geometry-optimized La2YNi structure, from the Alexandria database.

Cell lengths 7.6255, 7.6255, 7.6255 Å; angles 90.00, 90.00, 90.00 degrees
With the nearest neighbours (Å) after each atom.
Space group Fm-3m (No. 225)
Symmetry-distinct sites (fractional):
La: 0.2500 0.2500 0.2500 (multiplicity 8)  4 Ni 3.30, 4 Y 3.30
Y: 0.0000 0.0000 0.0000 (multiplicity 4)  8 La 3.30
Ni: 0.0000 0.0000 0.5000 (multiplicity 4)  8 La 3.30

Summary:
polymorph energy (0 for the lowest one): 433 meV per atom
ΔH_f (0 K): 242 meV per atom
calculated density: 6.37 g/cm3
M_tot: 0.704 μB per formula unit
volume: 443.4 Å³/cell

[10]
The following is a GGA-PBE calculation of a geometry-optimized La2YNi structure, from the Alexandria database.

Cell lengths 4.5200, 4.5200, 10.4623 Å; angles 90.00, 90.00, 90.00 degrees
With the nearest neighbours (Å) after each atom.
Space group I4/mmm (No. 139)
Symmetry-distinct sites (fractional):
La: 0.0000 0.5000 0.2500 (multiplicity 4)  4 La 3.20, 4 Ni 3.46, 4 Y 3.46
Y: 0.0000 0.0000 0.0000 (multiplicity 2)  4 Ni 3.20, 8 La 3.46
Ni: 0.0000 0.0000 0.5000 (multiplicity 2)  4 Y 3.20, 8 La 3.46

Summary:
polymorph energy (0 for the lowest one): 364 meV per atom
ΔH_f (0 K): 173 meV per atom
calculated density: 6.61 g/cm3
M_tot: 0.000 μB per formula unit
volume: 213.7 Å³/cell

[11]
The following is a GGA-PBE calculation of a geometry-optimized LaY2Ni9 structure, from the Alexandria database.

Cell lengths 5.0245, 5.0245, 24.4473 Å; angles 90.00, 90.00, 120.00 degrees
With the nearest neighbours (Å) after each atom.
Space group R-3m (No. 166, hexagonal axes)
Symmetry-distinct sites (fractional):
La: 0.0000 0.0000 0.0000 (multiplicity 3)  18 Ni 2.90-3.23
Y: 0.0000 0.0000 0.1400 (multiplicity 6)  12 Ni 2.87-3.05, 3 Y 3.18
Ni: 0.0000 0.0000 0.3328 (multiplicity 6)  6 Ni 2.49-2.51
Ni: 0.0000 0.0000 0.5000 (multiplicity 3)  6 Ni 2.50
Ni: 0.0007 0.5003 0.9167 (multiplicity 18)  7 Ni 2.49-2.52

Summary:
ΔH_f (0 K): -374 meV per atom
calculated density: 7.88 g/cm3
M_tot: 0.001 μB per formula unit
volume: 534.5 Å³/cell

[12]
The following is a GGA-PBE calculation of a geometry-optimized La2YNi structure, from the Alexandria database.

Cell lengths 4.7247, 4.0422, 6.4425 Å; angles 90.00, 106.53, 90.00 degrees
With the nearest neighbours (Å) after each atom.
Space group P2/m (No. 10)
Symmetry-distinct sites (fractional):
La: 0.1359 0.0000 0.2933 (multiplicity 2)  2 Ni 2.74
Y: 0.5000 0.5000 0.0000 (multiplicity 1)  2 Ni 3.22, 4 La 3.53
Ni: 0.5000 0.5000 0.5000 (multiplicity 1)  4 La 2.74

Summary:
polymorph energy (0 for the lowest one): 150 meV per atom
ΔH_f (0 K): -41 meV per atom
calculated density: 5.99 g/cm3
M_tot: 0.000 μB per formula unit
volume: 118.0 Å³/cell

[13]
The following is a GGA-PBE calculation of a geometry-optimized La2YNi structure, from the Alexandria database.

Cell lengths 5.4168, 3.6632, 5.4206 Å; angles 90.00, 90.41, 90.00 degrees
With the nearest neighbours (Å) after each atom.
Space group P2/m (No. 10)
Symmetry-distinct sites (fractional):
La: 0.0000 0.0000 0.0000 (multiplicity 1)  4 La 3.27, 4 Y 3.27
La: 0.5000 0.5000 0.0000 (multiplicity 1)  4 La 3.27, 4 Ni 3.27
Y: 0.0000 0.5000 0.5000 (multiplicity 1)  4 Ni 3.27, 4 La 3.27
Ni: 0.5000 0.0000 0.5000 (multiplicity 1)  4 Y 3.27, 4 La 3.27

Summary:
polymorph energy (0 for the lowest one): 374 meV per atom
ΔH_f (0 K): 183 meV per atom
calculated density: 6.57 g/cm3
M_tot: 0.000 μB per formula unit
volume: 107.6 Å³/cell